Record 1
# CsRe4

CsRe4 after structural relaxation (PBE, Alexandria via LeMat-Bulk).

Cell lengths 4.7878, 4.7878, 4.7878 Å; angles 90.00, 90.00, 90.00 degrees
With the nearest neighbours (Å) after each atom.
Positions (direct):
1 Cs 0.5000 0.5000 0.5000  6 Re 2.39
2 Re 0.5000 0.5000 0.0000  2 Cs 2.39
3 Re 0.5000 0.0000 0.5000  2 Cs 2.39
4 Re 0.0000 0.5000 0.5000  2 Cs 2.39
5 Re 0.0000 0.0000 0.0000  12 Re 3.39

Computed properties:
**Symmetry**: Pm-3m (221)

=====

Record 2
# CsRe

CsRe after structural relaxation (PBE, Alexandria via LeMat-Bulk).

Cell lengths 6.5936, 14.7855, 10.2573 Å; angles 90.00, 90.00, 90.00 degrees
With the nearest neighbours (Å) after each atom.
Positions (direct):
1 Re 0.5000 0.9252 0.5000  1 Re 2.21
2 Re 0.2500 0.6752 0.2500  1 Re 2.21
3 Cs 0.7500 0.2500 0.9145  2 Re 3.19, 1 Cs 3.37
4 Cs 0.2500 0.7500 0.9145  2 Re 3.19, 1 Cs 3.37
5 Re 0.5000 0.0748 0.5000  1 Re 2.21
6 Cs 0.7500 0.7500 0.0855  2 Re 3.19, 1 Cs 3.37
7 Cs 0.5000 0.5000 0.6645  2 Re 3.19, 1 Cs 3.37
8 Re 0.7500 0.8248 0.7500  1 Re 2.21
9 Cs 0.2500 0.2500 0.4145  2 Re 3.19, 1 Cs 3.37
10 Cs 0.7500 0.2500 0.5855  2 Re 3.19, 1 Cs 3.37
11 Re 0.5000 0.5748 0.0000  1 Re 2.21
12 Cs 0.0000 0.0000 0.6645  2 Re 3.19, 1 Cs 3.37
13 Re 0.0000 0.4252 0.5000  1 Re 2.21
14 Cs 0.2500 0.7500 0.5855  2 Re 3.19, 1 Cs 3.37
15 Re 0.0000 0.5748 0.5000  1 Re 2.21
16 Re 0.0000 0.9252 0.0000  1 Re 2.21
17 Cs 0.0000 0.5000 0.8355  2 Re 3.19, 1 Cs 3.37
18 Cs 0.5000 0.5000 0.3355  2 Re 3.19, 1 Cs 3.37
19 Cs 0.2500 0.2500 0.0855  2 Re 3.19, 1 Cs 3.37
20 Re 0.7500 0.6752 0.7500  1 Re 2.21
21 Cs 0.5000 0.0000 0.1645  2 Re 3.19, 1 Cs 3.37
22 Cs 0.7500 0.7500 0.4145  2 Re 3.19, 1 Cs 3.37
23 Re 0.2500 0.3248 0.7500  1 Re 2.21
24 Cs 0.5000 0.0000 0.8355  2 Re 3.19, 1 Cs 3.37
25 Cs 0.0000 0.0000 0.3355  2 Re 3.19, 1 Cs 3.37
26 Re 0.2500 0.1752 0.7500  1 Re 2.21
27 Re 0.7500 0.3248 0.2500  1 Re 2.21
28 Re 0.5000 0.4252 0.0000  1 Re 2.21
29 Re 0.0000 0.0748 0.0000  1 Re 2.21
30 Re 0.7500 0.1752 0.2500  1 Re 2.21
31 Cs 0.0000 0.5000 0.1645  2 Re 3.19, 1 Cs 3.37
32 Re 0.2500 0.8248 0.2500  1 Re 2.21

Computed properties:
**Polymorph energy (0 for the lowest one)**: 708 meV per atom
**Symmetry**: Fddd (70)

=====

Record 3
# CsRe

CsRe after structural relaxation (PBE, Alexandria via LeMat-Bulk).

Cell lengths 6.4314, 3.6789, 12.6364 Å; angles 90.00, 90.00, 90.00 degrees
With the nearest neighbours (Å) after each atom.
Positions (direct):
1 Re 0.5000 0.2500 0.0559  2 Re 2.32
2 Cs 0.0000 0.7500 0.1429  4 Cs 3.68-4.05, 6 Re 3.86-4.08
3 Re 0.5000 0.7500 0.9441  2 Re 2.32
4 Cs 0.0000 0.2500 0.8571  4 Cs 3.68-4.05, 6 Re 3.86-4.08
5 Re 0.0000 0.2500 0.4441  2 Re 2.32
6 Cs 0.5000 0.2500 0.6429  4 Cs 3.68-4.05, 6 Re 3.86-4.08
7 Cs 0.5000 0.7500 0.3571  4 Cs 3.68-4.05, 6 Re 3.86-4.08
8 Re 0.0000 0.7500 0.5559  2 Re 2.32

Computed properties:
**Polymorph energy (0 for the lowest one)**: 218 meV per atom
**Symmetry**: Imma (74)

=====

The N(E_F) results, record by record, are as follows: 0.991; 1.005; 0.946 states/eV/atom.
The formation energy from the elements results, record by record, are as follows: 4.496; 1.800; 1.310 eV/atom.